A plane-wave DFT calculation with PBE was carried out for a relaxed Ce3Sm2TmBi6 crystal.

Output
**ΔH_f (0 K)**: -10.020 eV per formula unit
**Space-group type**: No. 12

```
12
Lattice="3.9500 -6.8425 0.0000 3.9500 6.8425 0.0000 -2.6366 0.0000 7.4437" Properties=species:S:1:pos:R:3 pbc="T T T"
Ce 0.0000 0.0000 0.0000
Ce 3.9500 2.3113 0.0000
Ce 3.9500 -2.3113 0.0000
Sm 2.6317 4.5744 3.7219
Sm 2.6317 -4.5744 3.7219
Tm 2.6317 0.0000 3.7219
Bi 1.3371 2.2496 1.8993
Bi 0.0397 0.0000 5.5646
Bi 1.3371 -2.2496 1.8993
Bi 3.9263 2.2496 5.5445
Bi 5.2237 0.0000 1.8791
Bi 3.9263 -2.2496 5.5445
```